(1)
An optimized crystal structure of Dy2IrRu, computed with PBEsol.

The calculation puts the mass density at 13.6 g/cm³. The value obtained for the total energy is -8.0487 eV/atom. Its density of states at the Fermi level is 1.99 states/eV/f.u.

The space group is Fm-3m (No. 225) and the conventional cell measures 6.708, 6.708 and 6.708 Å, with angles of 90.00, 90.00 and 90.00 degrees. The inequivalent atoms are Dy at (0.250, 0.250, 0.250), Ir at (0.000, 0.000, 0.000) and Ru at (0.000, 0.000, 0.500).


(2)
An optimized crystal structure of K2In2Au, computed with PBEsol.

The calculation puts the mass density at 5.5 g/cm³. The value obtained for the total energy is -2.5470 eV/atom. Its density of states at the Fermi level is 3.53 states/eV/f.u.

The space group is P4/mbm (No. 127) and the conventional cell measures 7.214, 7.214 and 5.865 Å, with angles of 90.00, 90.00 and 90.00 degrees. The inequivalent atoms are K at (0.182, 0.318, 0.000), In at (0.142, 0.642, 0.500) and Au at (0.000, 0.000, 0.500).


(3)
An optimized crystal structure of ZnAg2B, computed with PBEsol.

The calculation puts the mass density at 9.0 g/cm³. The value obtained for the total energy is -3.1481 eV/atom. Its density of states at the Fermi level is 0.80 states/eV/f.u.

The space group is Fm-3m (No. 225) and the conventional cell measures 5.993, 5.993 and 5.993 Å, with angles of 90.00, 90.00 and 90.00 degrees. The inequivalent atoms are Zn at (0.000, 0.000, 0.000), Ag at (0.250, 0.250, 0.250) and B at (0.000, 0.000, 0.500).


Look up the mass density of the second one. 5.5 g/cm³


Copy entry 3 word for word.
An optimized crystal structure of ZnAg2B, computed with PBEsol.

The calculation puts the mass density at 9.0 g/cm³. The value obtained for the total energy is -3.1481 eV/atom. Its density of states at the Fermi level is 0.80 states/eV/f.u.

The space group is Fm-3m (No. 225) and the conventional cell measures 5.993, 5.993 and 5.993 Å, with angles of 90.00, 90.00 and 90.00 degrees. The inequivalent atoms are Zn at (0.000, 0.000, 0.000), Ag at (0.250, 0.250, 0.250) and B at (0.000, 0.000, 0.500).


Which of these has the lowest mass density? K2In2Au